No. 1
Density functional theory data (PBE) for an optimized crystal structure of CaAc5Sm4.

Lattice parameters (Å, degrees): 3.8788 3.8788 26.5722 90.00 90.00 90.00
Element x y z (fractional)
Ca  0.0000  0.0000  0.0000
Ac  0.5000  0.5000  0.1080
Ac  0.5000  0.5000  0.3038
Ac  0.5000  0.5000  0.5000
Ac  0.5000  0.5000  0.6962
Ac  0.5000  0.5000  0.8920
Sm  0.0000  0.0000  0.2045
Sm  0.0000  0.0000  0.4017
Sm  0.0000  0.0000  0.5983
Sm  0.0000  0.0000  0.7955

Summary:
* crystal system: tetragonal
* total energy: -41.06 eV/cell
* M_tot: 0.000 μB per formula unit



No. 2
Density functional theory data (PBE) for an optimized crystal structure of Ca6Ac8Sm.

Lattice parameters (Å, degrees): 10.7725 10.7725 6.5747 90.00 90.00 120.00
Element x y z (fractional)
Ca  0.0952  0.4732  0.2608
Ca  0.3779  0.9048  0.2608
Ca  0.4732  0.3779  0.7392
Ca  0.5268  0.6221  0.2608
Ca  0.6221  0.0952  0.7392
Ca  0.9048  0.5268  0.7392
Ac  0.0516  0.2685  0.7672
Ac  0.2169  0.9484  0.7672
Ac  0.2685  0.2169  0.2328
Ac  0.3333  0.6667  0.7670
Ac  0.6667  0.3333  0.2330
Ac  0.7315  0.7831  0.7672
Ac  0.7831  0.0516  0.2328
Ac  0.9484  0.7315  0.2328
Sm  0.0000  0.0000  0.5000

Summary:
* crystal system: trigonal
* total energy: -46.89 eV/cell
* M_tot: 0.000 μB per formula unit



No. 3
Density functional theory data (PBE) for an optimized crystal structure of CaAcSm2.

Lattice parameters (Å, degrees): 5.9925 5.9925 5.9925 60.00 60.00 60.00
Element x y z (fractional)
Ca  0.0000  0.0000  0.0000
Ac  0.5000  0.5000  0.5000
Sm  0.2500  0.2500  0.2500
Sm  0.7500  0.7500  0.7500

Summary:
* crystal system: cubic
* total energy: -14.95 eV/cell
* M_tot: 0.001 μB per formula unit
* ΔE to the lowest computed polymorph: 0.090 eV per atom



No. 4
Density functional theory data (PBE) for an optimized crystal structure of Ca2Ac12Sm.

Lattice parameters (Å, degrees): 7.1913 7.1913 28.0479 90.00 90.00 90.00
Element x y z (fractional)
Ca  0.2500  0.7500  0.2280
Ca  0.2500  0.7500  0.7720
Ca  0.7500  0.2500  0.2280
Ca  0.7500  0.2500  0.7720
Ac  0.0640  0.5640  0.3931
Ac  0.0640  0.9360  0.6069
Ac  0.0786  0.5786  0.0607
Ac  0.0786  0.9214  0.9393
Ac  0.2500  0.2500  0.1620
Ac  0.2500  0.2500  0.2914
Ac  0.2500  0.2500  0.7086
Ac  0.2500  0.2500  0.8380
Ac  0.4214  0.5786  0.9393
Ac  0.4214  0.9214  0.0607
Ac  0.4360  0.5640  0.6069
Ac  0.4360  0.9360  0.3931
Ac  0.5640  0.0640  0.6069
Ac  0.5640  0.4360  0.3931
Ac  0.5786  0.0786  0.9393
Ac  0.5786  0.4214  0.0607
Ac  0.7500  0.7500  0.1620
Ac  0.7500  0.7500  0.2914
Ac  0.7500  0.7500  0.7086
Ac  0.7500  0.7500  0.8380
Ac  0.9214  0.0786  0.0607
Ac  0.9214  0.4214  0.9393
Ac  0.9360  0.0640  0.3931
Ac  0.9360  0.4360  0.6069
Sm  0.2500  0.7500  0.5000
Sm  0.7500  0.2500  0.5000

Summary:
* crystal system: tetragonal
* total energy: -105.62 eV/cell
* M_tot: 0.000 μB per formula unit